i.
Here is a relaxed Ca2CrIr crystal from the Alexandria database. Energies are from PBE.

Cell: 6.554 6.569 4.066 Å, 90.00 90.00 90.00°
Space group Cmmm (No. 65)
Inequivalent atoms, fractional coordinates:
Ca (0.250, 0.250, 0.000) (multiplicity 4)
Cr (0.000, 0.000, 0.500) (multiplicity 2)
Ir (0.000, 0.500, 0.500) (multiplicity 2)

M_tot, Bohr magnetons per cell: 9.48
N(E_F), states/eV per cell: 3.941

=====

ii.
Here is a relaxed Ca2CrIr crystal from the Alexandria database. Energies are from PBE.

Cell: 4.0279 4.0279 23.7632 Å, 90.00 90.00 120.00°
Space group R3m (No. 160, hexagonal axes)
Inequivalent atoms, fractional coordinates:
Ca (0.0000, 0.0000, 0.0000) (multiplicity 3)
Ca (0.0000, 0.0000, 0.1787) (multiplicity 3)
Cr (0.0000, 0.0000, 0.7513) (multiplicity 3)
Ir (0.0000, 0.0000, 0.4282) (multiplicity 3)

M_tot, Bohr magnetons per cell: 0.90
N(E_F), states/eV per cell: 9.977

=====

iii.
Here is a relaxed Ca2CrIr crystal from the Alexandria database. Energies are from PBE.

Cell: 4.509 4.509 8.410 Å, 90.00 90.00 90.00°
Space group I-4m2 (No. 119)
Inequivalent atoms, fractional coordinates:
Ca (0.000, 0.000, 0.000) (multiplicity 2)
Ca (0.000, 0.500, 0.250) (multiplicity 2)
Cr (0.000, 0.500, 0.750) (multiplicity 2)
Ir (0.000, 0.000, 0.500) (multiplicity 2)

M_tot, Bohr magnetons per cell: 9.22
N(E_F), states/eV per cell: 4.025

=====

Which one is the least stable? From the structures above, iii.